# SrCdGe2Pd5, optimized geometry, DFT PBE-GGA
data_SrCdGe2Pd5
_space_group_name_H-M_alt 'P 4/m m m'
_space_group_IT_number 123
_space_group_name_Hall '-P 4 2'
_cell_length_a 4.795
_cell_length_b 4.795
_cell_length_c 7.480
_cell_angle_alpha 90.00
_cell_angle_beta 90.00
_cell_angle_gamma 90.00
loop_
_atom_site_label
_atom_site_type_symbol
_atom_site_fract_x
_atom_site_fract_y
_atom_site_fract_z
Sr1 Sr 0.000 0.000 0.000
Cd1 Cd 0.000 0.000 0.500
Ge1 Ge 0.500 0.500 0.338
Pd1 Pd 0.000 0.500 0.269
Pd2 Pd 0.500 0.500 0.000
# * N(E_F): 3.3 states/eV/f.u.
# * ΔH_f (0 K): -0.41 eV per atom
# * DFT total energy: -41.490 eV for the cell shown

# SbAs2P2, optimized geometry, DFT PBE-GGA
data_SbAs2P2
_space_group_name_H-M_alt 'I 4/m m m'
_space_group_IT_number 139
_space_group_name_Hall '-I 4 2'
_cell_length_a 4.891
_cell_length_b 4.891
_cell_length_c 8.649
_cell_angle_alpha 90.00
_cell_angle_beta 90.00
_cell_angle_gamma 90.00
loop_
_atom_site_label
_atom_site_type_symbol
_atom_site_fract_x
_atom_site_fract_y
_atom_site_fract_z
Sb1 Sb 0.000 0.000 0.000
As1 As 0.000 0.000 0.342
P1 P 0.000 0.500 0.250
# * raw formation energy: 0.403 eV/atom
# * N(E_F): 2.6 states/eV/f.u.
# * DFT total energy: -44.453 eV for the cell shown
# * relative energy among the computed polymorphs: 0.381 eV per formula unit

# TmScTlPd, optimized geometry, DFT PBE-GGA
data_TmScTlPd
_space_group_name_H-M_alt 'F -4 3 m'
_space_group_IT_number 216
_space_group_name_Hall 'F -4 2 3'
_cell_length_a 7.078
_cell_length_b 7.078
_cell_length_c 7.078
_cell_angle_alpha 90.00
_cell_angle_beta 90.00
_cell_angle_gamma 90.00
loop_
_atom_site_label
_atom_site_type_symbol
_atom_site_fract_x
_atom_site_fract_y
_atom_site_fract_z
Tm1 Tm 0.000 0.000 0.000
Sc1 Sc 0.000 0.000 0.500
Tl1 Tl 0.250 0.250 0.750
Pd1 Pd 0.250 0.250 0.250
# * N(E_F): 3.6 states/eV/f.u.
# * ΔH_f (0 K): -0.53 eV per atom
# * DFT total energy: -81.990 eV for the cell shown
# * relative energy among the computed polymorphs: 0.277 eV per formula unit

# IrAuI2N, optimized geometry, DFT PBE-GGA
data_IrAuI2N
_space_group_name_H-M_alt 'P 4/m m m'
_space_group_IT_number 123
_space_group_name_Hall '-P 4 2'
_cell_length_a 5.822
_cell_length_b 5.822
_cell_length_c 3.724
_cell_angle_alpha 90.00
_cell_angle_beta 90.00
_cell_angle_gamma 90.00
loop_
_atom_site_label
_atom_site_type_symbol
_atom_site_fract_x
_atom_site_fract_y
_atom_site_fract_z
Ir1 Ir 0.000 0.000 0.000
Au1 Au 0.500 0.500 0.500
I1 I 0.000 0.500 0.500
N1 N 0.500 0.500 0.000
# * raw formation energy: 1.693 eV/atom
# * N(E_F): 6.7 states/eV/f.u.
# * DFT total energy: -15.099 eV for the cell shown
# * relative energy among the computed polymorphs: 5.660 eV per formula unit

# Mg2GaPt4, optimized geometry, DFT PBE-GGA
data_Mg2GaPt4
_space_group_name_H-M_alt 'I 4/m m m'
_space_group_IT_number 139
_space_group_name_Hall '-I 4 2'
_cell_length_a 5.680
_cell_length_b 5.680
_cell_length_c 7.231
_cell_angle_alpha 90.00
_cell_angle_beta 90.00
_cell_angle_gamma 90.00
loop_
_atom_site_label
_atom_site_type_symbol
_atom_site_fract_x
_atom_site_fract_y
_atom_site_fract_z
Mg1 Mg 0.000 0.500 0.000
Ga1 Ga 0.000 0.000 0.000
Pt1 Pt 0.250 0.250 0.250
# * N(E_F): 2.2 states/eV/f.u.
# * ΔH_f (0 K): -0.62 eV per atom
# * DFT total energy: -69.505 eV for the cell shown
# * relative energy among the computed polymorphs: 0.000 eV per formula unit

# LiTb2TaO6, optimized geometry, DFT PBE-GGA
data_LiTb2TaO6
_space_group_name_H-M_alt 'R 3'
_space_group_IT_number 146
_space_group_name_Hall 'R 3'
_cell_length_a 5.5889
_cell_length_b 5.5889
_cell_length_c 14.8618
_cell_angle_alpha 90.00
_cell_angle_beta 90.00
_cell_angle_gamma 120.00
loop_
_atom_site_label
_atom_site_type_symbol
_atom_site_fract_x
_atom_site_fract_y
_atom_site_fract_z
Li1 Li 0.0000 0.0000 0.0000
Tb1 Tb 0.0000 0.0000 0.2595
Tb2 Tb 0.0000 0.0000 0.7601
Ta1 Ta 0.0000 0.0000 0.4689
O1 O 0.0087 0.3806 0.1981
O2 O 0.0631 0.6853 0.0426
# * raw formation energy: -3.116 eV/atom
# * N(E_F): 0.0 states/eV/f.u.
# * DFT total energy: -251.811 eV for the cell shown

# TbPr3Y2Te6, optimized geometry, DFT PBE-GGA
data_TbPr3Y2Te6
_space_group_name_H-M_alt 'C 1 2/m 1'
_space_group_IT_number 12
_space_group_name_Hall '-C 2y'
_cell_length_a 19.490
_cell_length_b 4.402
_cell_length_c 9.005
_cell_angle_alpha 90.00
_cell_angle_beta 104.52
_cell_angle_gamma 90.00
loop_
_atom_site_label
_atom_site_type_symbol
_atom_site_fract_x
_atom_site_fract_y
_atom_site_fract_z
Tb1 Tb 0.000 0.000 0.000
Pr1 Pr 0.000 0.000 0.500
Pr2 Pr 0.166 0.500 0.833
Y1 Y 0.166 0.500 0.333
Te1 Te 0.003 0.500 0.243
Te2 Te 0.164 0.000 0.091
Te3 Te 0.170 0.000 0.575
# * raw formation energy: -1.380 eV/atom
# * N(E_F): 6.2 states/eV/f.u.
# * DFT total energy: -134.618 eV for the cell shown

# InSb2Se, optimized geometry, DFT PBE-GGA
data_InSb2Se
_space_group_name_H-M_alt 'F m -3 m'
_space_group_IT_number 225
_space_group_name_Hall '-F 4 2 3'
_cell_length_a 7.415
_cell_length_b 7.415
_cell_length_c 7.415
_cell_angle_alpha 90.00
_cell_angle_beta 90.00
_cell_angle_gamma 90.00
loop_
_atom_site_label
_atom_site_type_symbol
_atom_site_fract_x
_atom_site_fract_y
_atom_site_fract_z
In1 In 0.000 0.000 0.000
Sb1 Sb 0.250 0.250 0.250
Se1 Se 0.000 0.000 0.500
# * raw formation energy: 0.195 eV/atom
# * N(E_F): 2.8 states/eV/f.u.
# * DFT total energy: -54.756 eV for the cell shown
# * relative energy among the computed polymorphs: 1.566 eV per formula unit